Material: V3HgF
Method: DFT, PBE with a Hubbard U
State: optimized geometry

Structure (CIF):
```
data_V3HgF
_chemical_formula_sum 'V3 Hg1 F1'
_symmetry_space_group_name_H-M 'P m -3 m'
_symmetry_Int_Tables_number 221
_symmetry_space_group_name_Hall '-P 4 2 3'
_cell_length_a 4.476
_cell_length_b 4.476
_cell_length_c 4.476
_cell_angle_alpha 90.00
_cell_angle_beta 90.00
_cell_angle_gamma 90.00
loop_
_atom_site_label
_atom_site_fract_x
_atom_site_fract_y
_atom_site_fract_z
V1 0.000 0.000 0.500
Hg1 0.500 0.500 0.500
F1 0.000 0.000 0.000
```

Values from the calculation:
**Crystal system**: cubic
**Relative energy among the computed polymorphs**: 0.000 eV/atom

---

Material: VHgF3
Method: DFT, PBE with a Hubbard U
State: optimized geometry

Structure (CIF):
```
data_VHgF3
_chemical_formula_sum 'V6 Hg6 F18'
_symmetry_space_group_name_H-M 'R -3'
_symmetry_Int_Tables_number 148
_symmetry_space_group_name_Hall '-R 3'
_cell_length_a 5.4352
_cell_length_b 5.4352
_cell_length_c 23.6030
_cell_angle_alpha 90.00
_cell_angle_beta 90.00
_cell_angle_gamma 120.00
loop_
_atom_site_label
_atom_site_fract_x
_atom_site_fract_y
_atom_site_fract_z
V1 0.0000 0.0000 0.1664
Hg1 0.0000 0.0000 0.3380
F1 0.0006 0.3848 0.4541
```

Values from the calculation:
**Crystal system**: trigonal
**Relative energy among the computed polymorphs**: 0.000 eV/atom

---

Material: VHg3F
Method: DFT, PBE with a Hubbard U
State: optimized geometry

Structure (CIF):
```
data_VHg3F
_chemical_formula_sum 'V1 Hg3 F1'
_symmetry_space_group_name_H-M 'P m -3 m'
_symmetry_Int_Tables_number 221
_symmetry_space_group_name_Hall '-P 4 2 3'
_cell_length_a 5.551
_cell_length_b 5.551
_cell_length_c 5.551
_cell_angle_alpha 90.00
_cell_angle_beta 90.00
_cell_angle_gamma 90.00
loop_
_atom_site_label
_atom_site_fract_x
_atom_site_fract_y
_atom_site_fract_z
V1 0.000 0.000 0.000
Hg1 0.000 0.000 0.500
F1 0.500 0.500 0.500
```

Values from the calculation:
**Crystal system**: cubic
**Relative energy among the computed polymorphs**: 0.000 eV/atom

---

Material: V2HgF
Method: DFT, PBE with a Hubbard U
State: optimized geometry

Structure (CIF):
```
data_V2HgF
_chemical_formula_sum 'V8 Hg4 F4'
_symmetry_space_group_name_H-M 'F m -3 m'
_symmetry_Int_Tables_number 225
_symmetry_space_group_name_Hall '-F 4 2 3'
_cell_length_a 6.610
_cell_length_b 6.610
_cell_length_c 6.610
_cell_angle_alpha 90.00
_cell_angle_beta 90.00
_cell_angle_gamma 90.00
loop_
_atom_site_label
_atom_site_fract_x
_atom_site_fract_y
_atom_site_fract_z
V1 0.250 0.250 0.250
Hg1 0.000 0.000 0.000
F1 0.000 0.000 0.500
```

Values from the calculation:
**Crystal system**: cubic
**Relative energy among the computed polymorphs**: 0.299 eV/atom

---

Material: YVHg2F
Method: DFT, PBE with a Hubbard U
State: optimized geometry

Structure (CIF):
```
data_YVHg2F
_chemical_formula_sum 'Y1 V1 Hg2 F1'
_symmetry_space_group_name_H-M 'P 4/m m m'
_symmetry_Int_Tables_number 123
_symmetry_space_group_name_Hall '-P 4 2'
_cell_length_a 5.509
_cell_length_b 5.509
_cell_length_c 3.893
_cell_angle_alpha 90.00
_cell_angle_beta 90.00
_cell_angle_gamma 90.00
loop_
_atom_site_label
_atom_site_fract_x
_atom_site_fract_y
_atom_site_fract_z
Y1 0.000 0.000 0.000
V1 0.500 0.500 0.500
Hg1 0.000 0.500 0.500
F1 0.500 0.500 0.000
```

Values from the calculation:
**Crystal system**: tetragonal
**VASP energy**: -3.7623 eV per atom

---

Material: HgWF2
Method: DFT, PBE with a Hubbard U
State: optimized geometry

Structure (CIF):
```
data_HgWF2
_chemical_formula_sum 'Hg4 W4 F8'
_symmetry_space_group_name_H-M 'F m -3 m'
_symmetry_Int_Tables_number 225
_symmetry_space_group_name_Hall '-F 4 2 3'
_cell_length_a 6.372
_cell_length_b 6.372
_cell_length_c 6.372
_cell_angle_alpha 90.00
_cell_angle_beta 90.00
_cell_angle_gamma 90.00
loop_
_atom_site_label
_atom_site_fract_x
_atom_site_fract_y
_atom_site_fract_z
Hg1 0.000 0.000 0.000
W1 0.000 0.000 0.500
F1 0.250 0.250 0.250
```

Values from the calculation:
**Crystal system**: cubic
**Relative energy among the computed polymorphs**: 0.761 eV/atom

---

Material: Hg12WF7
Method: DFT, PBE with a Hubbard U
State: optimized geometry

Structure (CIF):
```
data_Hg12WF7
_chemical_formula_sum 'Hg12 W1 F7'
_symmetry_space_group_name_H-M 'P -1'
_symmetry_Int_Tables_number 2
_symmetry_space_group_name_Hall '-P 1'
_cell_length_a 4.467
_cell_length_b 11.682
_cell_length_c 11.688
_cell_angle_alpha 118.33
_cell_angle_beta 97.38
_cell_angle_gamma 97.33
loop_
_atom_site_label
_atom_site_fract_x
_atom_site_fract_y
_atom_site_fract_z
Hg1 0.001 0.413 0.087
Hg2 0.048 0.649 0.500
Hg3 0.048 0.999 0.149
Hg4 0.399 0.351 0.851
Hg5 0.413 0.413 0.327
Hg6 0.413 0.826 0.913
W1 0.500 0.000 0.500
F1 0.000 0.000 0.500
F2 0.224 0.845 0.345
F3 0.379 0.155 0.499
F4 0.380 0.000 0.655
```

Values from the calculation:
**Crystal system**: triclinic
**VASP energy**: -2.1236 eV per atom

---

Material: HgWF4
Method: DFT, PBE with a Hubbard U
State: optimized geometry

Structure (CIF):
```
data_HgWF4
_chemical_formula_sum 'Hg2 W2 F8'
_symmetry_space_group_name_H-M 'C m m m'
_symmetry_Int_Tables_number 65
_symmetry_space_group_name_Hall '-C 2 2'
_cell_length_a 5.780
_cell_length_b 5.973
_cell_length_c 8.612
_cell_angle_alpha 90.00
_cell_angle_beta 90.00
_cell_angle_gamma 90.00
loop_
_atom_site_label
_atom_site_fract_x
_atom_site_fract_y
_atom_site_fract_z
Hg1 0.000 0.000 0.000
W1 0.000 0.500 0.500
F1 0.000 0.500 0.276
F2 0.250 0.250 0.500
```

Values from the calculation:
**Crystal system**: orthorhombic
**VASP energy**: -4.6092 eV per atom

---

Material: HgW2F
Method: DFT, PBE with a Hubbard U
State: optimized geometry

Structure (CIF):
```
data_HgW2F
_chemical_formula_sum 'Hg4 W8 F4'
_symmetry_space_group_name_H-M 'I -4 2 d'
_symmetry_Int_Tables_number 122
_symmetry_space_group_name_Hall 'I -4 2bw'
_cell_length_a 7.249
_cell_length_b 7.249
_cell_length_c 5.364
_cell_angle_alpha 90.00
_cell_angle_beta 90.00
_cell_angle_gamma 90.00
loop_
_atom_site_label
_atom_site_fract_x
_atom_site_fract_y
_atom_site_fract_z
Hg1 0.000 0.000 0.000
W1 0.187 0.250 0.625
F1 0.000 0.000 0.500
```

Values from the calculation:
**Crystal system**: tetragonal
**Relative energy among the computed polymorphs**: 0.000 eV/atom

---

Material: HgWF2
Method: DFT, PBE with a Hubbard U
State: optimized geometry

Structure (CIF):
```
data_HgWF2
_chemical_formula_sum 'Hg3 W3 F6'
_symmetry_space_group_name_H-M 'R -3 m'
_symmetry_Int_Tables_number 166
_symmetry_space_group_name_Hall '-R 3 2"'
_cell_length_a 3.0522
_cell_length_b 3.0522
_cell_length_c 29.8812
_cell_angle_alpha 90.00
_cell_angle_beta 90.00
_cell_angle_gamma 120.00
loop_
_atom_site_label
_atom_site_fract_x
_atom_site_fract_y
_atom_site_fract_z
Hg1 0.0000 0.0000 0.0000
W1 0.0000 0.0000 0.5000
F1 0.0000 0.0000 0.4369
```

Values from the calculation:
**Crystal system**: trigonal
**Relative energy among the computed polymorphs**: 0.000 eV/atom

---

Material: HgW2F
Method: DFT, PBE with a Hubbard U
State: optimized geometry

Structure (CIF):
```
data_HgW2F
_chemical_formula_sum 'Hg4 W8 F4'
_symmetry_space_group_name_H-M 'F m -3 m'
_symmetry_Int_Tables_number 225
_symmetry_space_group_name_Hall '-F 4 2 3'
_cell_length_a 6.418
_cell_length_b 6.418
_cell_length_c 6.418
_cell_angle_alpha 90.00
_cell_angle_beta 90.00
_cell_angle_gamma 90.00
loop_
_atom_site_label
_atom_site_fract_x
_atom_site_fract_y
_atom_site_fract_z
Hg1 0.000 0.000 0.000
W1 0.250 0.250 0.250
F1 0.000 0.000 0.500
```

Values from the calculation:
**Crystal system**: cubic
**Relative energy among the computed polymorphs**: 0.287 eV/atom

---

Material: HgWF3
Method: DFT, PBE with a Hubbard U
State: optimized geometry

Structure (CIF):
```
data_HgWF3
_chemical_formula_sum 'Hg1 W1 F3'
_symmetry_space_group_name_H-M 'P m -3 m'
_symmetry_Int_Tables_number 221
_symmetry_space_group_name_Hall '-P 4 2 3'
_cell_length_a 4.356
_cell_length_b 4.356
_cell_length_c 4.356
_cell_angle_alpha 90.00
_cell_angle_beta 90.00
_cell_angle_gamma 90.00
loop_
_atom_site_label
_atom_site_fract_x
_atom_site_fract_y
_atom_site_fract_z
Hg1 0.000 0.000 0.000
W1 0.500 0.500 0.500
F1 0.000 0.500 0.500
```

Values from the calculation:
**Crystal system**: cubic
**Relative energy among the computed polymorphs**: 0.000 eV/atom